(1)
## Th2AlCo3Ge4 (PBE-GGA)

Data for a geometry-optimized Th2AlCo3Ge4 structure.

Cell: 4.1197 4.1197 10.1485 Å, 90.00 90.00 90.00°
Last column: nearest neighbours and their distance in Å.
Fractional coordinates of all 10 atoms:
Th 0.5000 0.0000 0.2381  8 Ge 3.14-3.18, 6 Co 3.14-3.36, 2 Al 3.36
Th 0.0000 0.5000 0.7619  8 Ge 3.14-3.18, 6 Co 3.14-3.36, 2 Al 3.36
Al 0.5000 0.5000 0.5000  4 Ge 2.54
Co 0.0000 0.0000 0.5000  4 Ge 2.54
Co 0.5000 0.0000 0.8784  5 Ge 2.36-2.40
Co 0.0000 0.5000 0.1216  5 Ge 2.36-2.40
Ge 0.5000 0.5000 0.0000  4 Co 2.40
Ge 0.0000 0.0000 0.0000  4 Co 2.40
Ge 0.5000 0.0000 0.6457  3 Co 2.36-2.54, 2 Al 2.54
Ge 0.0000 0.5000 0.3543  3 Co 2.36-2.54, 2 Al 2.54

Summary:
The density of states at the Fermi level comes out at 5.7 states/eV/f.u. Its spin magnetization is 0.00 μB/atom. Its formation energy is -0.5986 eV/atom.

(2)
## Tm2AlCo4Ge3 (PBE-GGA)

Data for a geometry-optimized Tm2AlCo4Ge3 structure.

Cell: 3.9259 3.9259 10.0700 Å, 90.00 90.00 90.00°
Last column: nearest neighbours and their distance in Å.
Fractional coordinates of all 10 atoms:
Tm 0.5000 0.0000 0.2489  8 Co 3.00-3.18, 6 Ge 3.03-3.20, 2 Al 3.20
Tm 0.0000 0.5000 0.7511  8 Co 3.00-3.18, 6 Ge 3.03-3.20, 2 Al 3.20
Al 0.5000 0.5000 0.5000  4 Co 2.41
Co 0.5000 0.5000 0.0000  4 Ge 2.36
Co 0.0000 0.0000 0.0000  4 Ge 2.36
Co 0.5000 0.0000 0.6384  3 Ge 2.34-2.41, 2 Al 2.41
Co 0.0000 0.5000 0.3616  3 Ge 2.34-2.41, 2 Al 2.41
Ge 0.0000 0.0000 0.5000  4 Co 2.41
Ge 0.5000 0.0000 0.8707  5 Co 2.34-2.36
Ge 0.0000 0.5000 0.1293  5 Co 2.34-2.36

Summary:
The density of states at the Fermi level comes out at 10.5 states/eV/f.u. Its spin magnetization is 0.00 μB/atom. Its formation energy is -0.5603 eV/atom.

(3)
## YAl2Co2Ge (PBE-GGA)

Data for a geometry-optimized YAl2Co2Ge structure.

Cell: 4.3311 4.3311 5.5734 Å, 90.00 90.00 90.00°
Last column: nearest neighbours and their distance in Å.
Fractional coordinates of all 6 atoms:
Y 0.0000 0.0000 0.5000  2 Ge 2.79
Al 0.5000 0.5000 0.7476  4 Co 2.58, 2 Al 2.76-2.81
Al 0.5000 0.5000 0.2524  4 Co 2.58, 2 Al 2.76-2.81
Co 0.5000 0.0000 0.0000  2 Ge 2.17
Co 0.0000 0.5000 0.0000  2 Ge 2.17
Ge 0.0000 0.0000 0.0000  4 Co 2.17

Summary:
The density of states at the Fermi level comes out at 6.0 states/eV/f.u. Its spin magnetization is 0.18 μB/atom. Its formation energy is -0.2479 eV/atom.

(4)
## Y2AlCoGe (PBE-GGA)

Data for a geometry-optimized Y2AlCoGe structure.

Cell: 5.4144 4.3280 5.4144 Å, 90.00 90.00 90.00°
Last column: nearest neighbours and their distance in Å.
Fractional coordinates of all 5 atoms:
Y 0.0000 0.0000 0.5000  2 Ge 2.71
Y 0.5000 0.0000 0.0000  2 Ge 2.71
Ge 0.0000 0.0000 0.0000  2 Co 2.16
Co 0.0000 0.5000 0.0000  2 Ge 2.16
Al 0.5000 0.5000 0.5000  8 Y 3.47, 4 Co 3.83

Summary:
The density of states at the Fermi level comes out at 4.5 states/eV/f.u. Its spin magnetization is 0.33 μB/atom. Its formation energy is 0.0652 eV/atom.

(5)
## AlCo2H (PBE-GGA)

Data for a geometry-optimized AlCo2H structure.

Cell: 5.5487 5.5487 4.6453 Å, 53.33 53.33 90.00°
Last column: nearest neighbours and their distance in Å.
Fractional coordinates of all 8 atoms:
H 0.5000 0.5000 0.0000  4 Co 1.72
H 0.2500 0.7500 0.5000  4 Co 1.72
Co 0.5200 0.1250 0.2500  2 H 1.72
Co 0.2300 0.6250 0.2500  2 H 1.72
Co 0.3750 0.4800 0.7500  2 H 1.72
Co 0.8750 0.7700 0.7500  2 H 1.72
Al 0.0000 0.0000 0.0000  8 Co 2.46-2.49, 2 H 2.49
Al 0.7500 0.2500 0.5000  8 Co 2.46-2.49, 2 H 2.49

Summary:
The density of states at the Fermi level comes out at 4.0 states/eV/f.u. Its spin magnetization is 0.44 μB/atom. The calculation puts the relative energy among the computed polymorphs at 0.098 eV/atom.

(6)
## Al3CoH (PBE-GGA)

Data for a geometry-optimized Al3CoH structure.

Cell: 3.8626 3.8626 3.8626 Å, 90.00 90.00 90.00°
Last column: nearest neighbours and their distance in Å.
Fractional coordinates of all 5 atoms:
H 0.0000 0.0000 0.0000  6 Al 1.93
Co 0.5000 0.5000 0.5000  12 Al 2.73
Al 0.0000 0.5000 0.0000  2 H 1.93
Al 0.0000 0.0000 0.5000  2 H 1.93
Al 0.5000 0.0000 0.0000  2 H 1.93

Summary:
The density of states at the Fermi level comes out at 3.8 states/eV/f.u. Its spin magnetization is 0.07 μB/atom. The calculation puts the relative energy among the computed polymorphs at 0.000 eV/atom.